# 1
VASP calculation (PBE-GGA) on a geometry-optimized CsP2Pd4 structure.

The value obtained for the theoretical density is 6704 kg/m³. The value obtained for the formation energy is -0.438 eV/atom.

It has space group Cmmm (No. 65), with a = 4.217 Å, b = 17.342 Å, c = 4.203 Å, α = 90.00°, β = 90.00° and γ = 90.00°. The distinct sites, in fractional coordinates, are Cs at (0.000, 0.000, 0.000), P at (0.000, 0.364, 0.500), Pd at (0.000, 0.193, 0.500) and Pd at (0.000, 0.307, 0.000).



# 2
VASP calculation (PBE-GGA) on a geometry-optimized Cs2P2Pd2Pt structure.

The value obtained for the theoretical density is 5800 kg/m³. The value obtained for the formation energy is -0.487 eV/atom.

It has space group C2/m (No. 12), with a = 13.642 Å, b = 4.389 Å, c = 8.949 Å, α = 90.00°, β = 128.18° and γ = 90.00°. The distinct sites, in fractional coordinates, are Cs at (0.062, 0.000, 0.338), P at (0.206, 0.500, 0.125), Pd at (0.246, 0.500, 0.901) and Pt at (0.000, 0.500, 0.000).



# 3
VASP calculation (PBE-GGA) on a geometry-optimized CsP2PdPt structure.

The value obtained for the theoretical density is 5571 kg/m³. The value obtained for the formation energy is 2.364 eV/atom.

It has space group P4/mmm (No. 123), with a = 5.339 Å, b = 5.339 Å, c = 5.190 Å, α = 90.00°, β = 90.00° and γ = 90.00°. The distinct sites, in fractional coordinates, are Cs at (0.000, 0.000, 0.000), P at (0.000, 0.500, 0.000), Pd at (0.500, 0.500, 0.500) and Pt at (0.000, 0.000, 0.500).